The following is a DFT calculation (GGA-PBE) of a relaxed structure of Tl3RePb2O6.

Total energy, eV/f.u.: -68.7

Cell: 6.050 6.050 7.505 Å, 102.30 102.30 115.90°
Fractional coordinates of all 12 atoms:
Tl: 0.000 0.000 0.000
Tl: 0.339 0.661 0.000
Tl: 0.661 0.339 0.000
Re: 0.500 0.500 0.500
Pb: 0.166 0.834 0.500
Pb: 0.834 0.166 0.500
O: 0.154 0.429 0.351
O: 0.354 0.354 0.678
O: 0.429 0.154 0.351
O: 0.571 0.846 0.649
O: 0.646 0.646 0.322
O: 0.846 0.571 0.649